Entry 1:
Entry from the Alexandria database: a relaxed SrTeBr2 crystal (PBE-GGA).

- DOS(E_F): 0.03 states/eV/atom
- Total magnetization: 2.0 μB per cell
- Space-group type: P2/m (10)
- Formation energy from raw total energies: -0.999 eV per atom
- Energy above the lowest structure with this stoichiometry: 263 meV/atom

Cell lengths 4.515, 6.005, 6.045 Å; angles 75.13, 90.00, 90.00 degrees
Positions (direct):
Sr: 0.500 0.250 0.250
Te: 0.500 0.750 0.750
Br: 0.000 0.040 0.039
Br: 0.000 0.460 0.461

---

Entry 2:
Entry from the Alexandria database: a relaxed EuThZnGa crystal (PBE-GGA).

- DOS(E_F): 1.01 states/eV/atom
- Total magnetization: 7.6 μB per cell
- Space-group type: F-43m (216)
- ΔH_f (0 K): -0.2851 eV per atom

Cell lengths 5.235, 5.235, 5.235 Å; angles 60.00, 60.00, 60.00 degrees
Positions (direct):
Eu: 0.000 0.000 0.000
Zn: 0.250 0.250 0.250
Ga: 0.750 0.750 0.750
Th: 0.500 0.500 0.500

---

Entry 3:
Entry from the Alexandria database: a relaxed LaSbTe2Ir crystal (PBE-GGA).

- DOS(E_F): 0.62 states/eV/atom
- Total magnetization: 0.0 μB per cell
- Space-group type: P4/mmm (123)
- Formation energy from raw total energies: -0.305 eV per atom
- Energy above the lowest structure with this stoichiometry: 0 meV/atom

Cell lengths 5.495, 5.495, 4.940 Å; angles 90.00, 90.00, 90.00 degrees
Positions (direct):
Sb: 0.000 0.000 0.500
Ir: 0.000 0.000 0.000
Te: 0.000 0.500 0.000
Te: 0.500 0.000 0.000
La: 0.500 0.500 0.500

---

Entry 4:
Entry from the Alexandria database: a relaxed KHgPt crystal (PBE-GGA).

- DOS(E_F): 0.68 states/eV/atom
- Total magnetization: 0.0 μB per cell
- Space-group type: F-43m (216)
- ΔH_f (0 K): 0.6470 eV per atom
- Energy above the lowest structure with this stoichiometry: 843 meV/atom

Cell lengths 5.096, 5.096, 5.096 Å; angles 60.00, 60.00, 60.00 degrees
Positions (direct):
Hg: 0.500 0.500 0.500
K: 0.750 0.750 0.750
Pt: 0.000 0.000 0.000

---

Entry 5:
Entry from the Alexandria database: a relaxed CdAg2Br crystal (PBE-GGA).

- DOS(E_F): 0.21 states/eV/atom
- Total magnetization: 0.0 μB per cell
- Space-group type: Cm (8)
- Formation energy from raw total energies: -0.052 eV per atom
- Energy above the lowest structure with this stoichiometry: 15 meV/atom

Cell lengths 4.900, 4.900, 6.715 Å; angles 106.81, 106.81, 47.98 degrees
Positions (direct):
Br: 0.412 0.412 0.548
Ag: 0.026 0.026 0.977
Ag: 0.698 0.698 0.842
Cd: 0.364 0.364 0.133

---

Entry 6:
Entry from the Alexandria database: a relaxed NaYCu2F8 crystal (PBE-GGA).

- Total magnetization: 2.0 μB per cell
- Space-group type: I-4 (82)
- Formation energy from raw total energies: -2.552 eV per atom

Cell lengths 5.473, 5.473, 6.532 Å; angles 114.76, 114.76, 90.00 degrees
Positions (direct):
Na: 0.000 0.000 0.000
Y: 0.750 0.250 0.500
Cu: 0.500 0.500 0.000
Cu: 0.250 0.750 0.500
F: 0.704 0.862 0.132
F: 0.428 0.270 0.132
F: 0.595 0.640 0.614
F: 0.019 0.974 0.614
F: 0.026 0.405 0.386
F: 0.360 0.981 0.386
F: 0.138 0.572 0.868
F: 0.730 0.296 0.868

---

Entry 7:
Entry from the Alexandria database: a relaxed ZnNiIr2 crystal (PBE-GGA).

- DOS(E_F): 0.73 states/eV/atom
- Total magnetization: 0.0 μB per cell
- Space-group type: I-4m2 (119)
- ΔH_f (0 K): -0.0538 eV per atom

Cell lengths 4.626, 4.626, 4.626 Å; angles 131.78, 131.78, 70.57 degrees
Positions (direct):
Ni: 0.500 0.500 0.000
Zn: 0.750 0.250 0.500
Ir: 0.000 0.000 0.000
Ir: 0.250 0.750 0.500

---

Entry 8:
Entry from the Alexandria database: a relaxed Nd2H crystal (PBE-GGA).

- DOS(E_F): 0.72 states/eV/atom
- Energy: -13.74 eV/cell
- Total magnetization: 0.0 μB per cell
- Space-group type: P4/mmm (123)

Cell lengths 3.641, 3.641, 5.214 Å; angles 90.00, 90.00, 90.00 degrees
Positions (direct):
Nd: 0.000 0.000 0.000
Nd: 0.500 0.500 0.500
H: 0.500 0.500 0.000

---

Entry 9:
Entry from the Alexandria database: a relaxed LiPr2Al4Pt3 crystal (PBE-GGA).

- DOS(E_F): 0.82 states/eV/atom
- Total magnetization: 0.0 μB per cell
- Space-group type: P-4m2 (115)
- ΔH_f (0 K): -0.9344 eV per atom

Cell lengths 4.308, 4.308, 10.533 Å; angles 90.00, 90.00, 90.00 degrees
Positions (direct):
Li: 0.500 0.500 0.500
Pr: 0.500 0.000 0.245
Pr: 0.000 0.500 0.755
Al: 0.500 0.500 0.000
Al: 0.000 0.000 0.000
Al: 0.500 0.000 0.629
Al: 0.000 0.500 0.371
Pt: 0.000 0.000 0.500
Pt: 0.500 0.000 0.868
Pt: 0.000 0.500 0.132

---

Entry 10:
Entry from the Alexandria database: a relaxed Li3Tb2NpSe6 crystal (PBE-GGA).

- DOS(E_F): 0.62 states/eV/atom
- Total magnetization: 4.0 μB per cell
- Space-group type: C2/m (12)
- Formation energy from raw total energies: -1.514 eV per atom

Cell lengths 7.105, 7.105, 6.917 Å; angles 99.83, 99.83, 119.97 degrees
Positions (direct):
Li: 0.168 0.832 0.500
Li: 0.832 0.168 0.500
Li: 0.500 0.500 0.500
Tb: 0.334 0.666 0.000
Tb: 0.666 0.334 0.000
Np: 0.000 0.000 0.000
Se: 0.915 0.579 0.745
Se: 0.750 0.750 0.256
Se: 0.085 0.421 0.255
Se: 0.579 0.915 0.745
Se: 0.250 0.250 0.744
Se: 0.421 0.085 0.255

---

Entry 11:
Entry from the Alexandria database: a relaxed Np2TeN crystal (PBE-GGA).

- DOS(E_F): 3.18 states/eV/atom
- Total magnetization: 7.8 μB per cell
- Space-group type: R-3m (166)
- Formation energy from raw total energies: -0.716 eV per atom
- Energy above the lowest structure with this stoichiometry: 0 meV/atom

Cell lengths 3.727, 3.727, 7.271 Å; angles 75.15, 75.15, 60.00 degrees
Positions (direct):
Np: 0.774 0.774 0.678
Np: 0.226 0.226 0.322
Te: 0.000 0.000 0.000
N: 0.500 0.500 0.500

---

Q: Which calculated volume values were calculated for the entries above? A: 158.4; 101.5; 149.2; 93.6; 113.6; 157.6; 53.9; 69.1; 195.4; 284.3; 83.6, in Å³/cell.